Record 1
# LiHgIrW | OQMD via LeMat-Bulk | PBE-GGA | optimized geometry
# DFT total energy: -5.236 eV/atom
data_LiHgIrW
_chemical_formula_sum 'Li4 Hg4 Ir4 W4'
_space_group_name_H-M_alt 'F -4 3 m'
_space_group_IT_number 216
_space_group_name_Hall 'F -4 2 3'
_cell_length_a 6.293
_cell_length_b 6.293
_cell_length_c 6.293
_cell_angle_alpha 90.00
_cell_angle_beta 90.00
_cell_angle_gamma 90.00
loop_
_atom_site_label
_atom_site_type_symbol
_atom_site_fract_x
_atom_site_fract_y
_atom_site_fract_z
_atom_site_occupancy
Li1 Li 0.000 0.000 0.000 1
Hg1 Hg 0.000 0.000 0.500 1
Ir1 Ir 0.250 0.250 0.750 1
W1 W 0.250 0.250 0.250 1

Record 2
# ErScSb | OQMD via LeMat-Bulk | PBE-GGA | optimized geometry
# DFT total energy: -5.477 eV/atom
data_ErScSb
_chemical_formula_sum 'Er4 Sc4 Sb4'
_space_group_name_H-M_alt 'F -4 3 m'
_space_group_IT_number 216
_space_group_name_Hall 'F -4 2 3'
_cell_length_a 6.935
_cell_length_b 6.935
_cell_length_c 6.935
_cell_angle_alpha 90.00
_cell_angle_beta 90.00
_cell_angle_gamma 90.00
loop_
_atom_site_label
_atom_site_type_symbol
_atom_site_fract_x
_atom_site_fract_y
_atom_site_fract_z
_atom_site_occupancy
Er1 Er 0.000 0.000 0.000 1
Sc1 Sc 0.000 0.000 0.500 1
Sb1 Sb 0.250 0.250 0.250 1

Record 3
# YEr2Fe8Co | OQMD via LeMat-Bulk | PBE-GGA | optimized geometry
# Formation energy from the elements: -118 meV per atom
data_YEr2Fe8Co
_chemical_formula_sum 'Y3 Er6 Fe24 Co3'
_space_group_name_H-M_alt 'R -3 m'
_space_group_IT_number 166
_space_group_name_Hall '-R 3 2"'
_cell_length_a 5.0402
_cell_length_b 5.0402
_cell_length_c 24.0980
_cell_angle_alpha 90.00
_cell_angle_beta 90.00
_cell_angle_gamma 120.00
loop_
_atom_site_label
_atom_site_type_symbol
_atom_site_fract_x
_atom_site_fract_y
_atom_site_fract_z
_atom_site_occupancy
Y1 Y 0.0000 0.0000 0.0000 1
Er1 Er 0.0000 0.0000 0.1422 1
Fe1 Fe 0.0000 0.0000 0.3328 1
Fe2 Fe 0.9997 0.4998 0.0822 1
Co1 Co 0.0000 0.0000 0.5000 1

Record 4
# PrTa2Pd6 | OQMD via LeMat-Bulk | PBE-GGA | optimized geometry
# Formation energy from the elements: -301 meV per atom
data_PrTa2Pd6
_chemical_formula_sum 'Pr1 Ta2 Pd6'
_space_group_name_H-M_alt 'P -6 2 m'
_space_group_IT_number 189
_space_group_name_Hall 'P -6 -2'
_cell_length_a 7.9172
_cell_length_b 7.9172
_cell_length_c 2.8816
_cell_angle_alpha 90.00
_cell_angle_beta 90.00
_cell_angle_gamma 120.00
loop_
_atom_site_label
_atom_site_type_symbol
_atom_site_fract_x
_atom_site_fract_y
_atom_site_fract_z
_atom_site_occupancy
Pr1 Pr 0.0000 0.0000 0.0000 1
Ta1 Ta 0.3333 0.6667 0.5000 1
Pd1 Pd 0.0000 0.3285 0.5000 1
Pd2 Pd 0.0000 0.6361 0.0000 1

Record 5
# TmAlCl6 | OQMD via LeMat-Bulk | PBE-GGA | optimized geometry
# DFT total energy: -4.286 eV/atom
data_TmAlCl6
_chemical_formula_sum 'Tm2 Al2 Cl12'
_space_group_name_H-M_alt 'C 1 2 1'
_space_group_IT_number 5
_cell_length_a 6.395
_cell_length_b 11.101
_cell_length_c 6.393
_cell_angle_alpha 90.00
_cell_angle_beta 109.59
_cell_angle_gamma 90.00
loop_
_space_group_symop_operation_xyz
'x,y,z'
'-x,y,-z'
'x+1/2,y+1/2,z'
'-x+1/2,y+1/2,-z'
loop_
_atom_site_label
_atom_site_type_symbol
_atom_site_fract_x
_atom_site_fract_y
_atom_site_fract_z
_atom_site_occupancy
Tm1 Tm 0.000 0.000 0.000 1
Al1 Al 0.000 0.668 0.000 1
Cl1 Cl 0.218 0.818 0.230 1
Cl2 Cl 0.222 0.663 0.774 1
Cl3 Cl 0.232 0.521 0.229 1

Record 6
# Co5Mo2Os | OQMD via LeMat-Bulk | PBE-GGA | optimized geometry
# Formation energy from the elements: -33 meV per atom
data_Co5Mo2Os
_chemical_formula_sum 'Co10 Mo4 Os2'
_space_group_name_H-M_alt 'A m m 2'
_space_group_IT_number 38
_cell_length_a 4.132
_cell_length_b 5.198
_cell_length_c 8.993
_cell_angle_alpha 90.00
_cell_angle_beta 90.00
_cell_angle_gamma 90.00
loop_
_space_group_symop_operation_xyz
'x,y,z'
'-x,-y,z'
'-x,y,z'
'x,-y,z'
'x,y+1/2,z+1/2'
'-x,-y+1/2,z+1/2'
'-x,y+1/2,z+1/2'
'x,-y+1/2,z+1/2'
loop_
_atom_site_label
_atom_site_type_symbol
_atom_site_fract_x
_atom_site_fract_y
_atom_site_fract_z
_atom_site_occupancy
Co1 Co 0.000 0.000 0.000 1
Co2 Co 0.000 0.248 0.240 1
Co3 Co 0.500 0.243 0.080 1
Mo1 Mo 0.000 0.000 0.501 1
Mo2 Mo 0.500 0.000 0.831 1
Os1 Os 0.500 0.000 0.322 1

Record 7
# ZrBeHg | OQMD via LeMat-Bulk | PBE-GGA | optimized geometry
# DFT total energy: -4.159 eV/atom
data_ZrBeHg
_chemical_formula_sum 'Zr4 Be4 Hg4'
_space_group_name_H-M_alt 'F -4 3 m'
_space_group_IT_number 216
_space_group_name_Hall 'F -4 2 3'
_cell_length_a 6.048
_cell_length_b 6.048
_cell_length_c 6.048
_cell_angle_alpha 90.00
_cell_angle_beta 90.00
_cell_angle_gamma 90.00
loop_
_atom_site_label
_atom_site_type_symbol
_atom_site_fract_x
_atom_site_fract_y
_atom_site_fract_z
_atom_site_occupancy
Zr1 Zr 0.000 0.000 0.000 1
Be1 Be 0.250 0.250 0.750 1
Hg1 Hg 0.000 0.000 0.500 1

Record 8
# Cu2Ag3 | OQMD via LeMat-Bulk | PBE-GGA | optimized geometry
# Formation energy from the elements: 98 meV per atom
data_Cu2Ag3
_chemical_formula_sum 'Cu8 Ag12'
_space_group_name_H-M_alt 'C 1 2 1'
_space_group_IT_number 5
_cell_length_a 4.834
_cell_length_b 14.139
_cell_length_c 4.810
_cell_angle_alpha 90.00
_cell_angle_beta 108.36
_cell_angle_gamma 90.00
loop_
_space_group_symop_operation_xyz
'x,y,z'
'-x,y,-z'
'x+1/2,y+1/2,z'
'-x+1/2,y+1/2,-z'
loop_
_atom_site_label
_atom_site_type_symbol
_atom_site_fract_x
_atom_site_fract_y
_atom_site_fract_z
_atom_site_occupancy
Cu1 Cu 0.000 0.000 0.000 1
Cu2 Cu 0.000 0.094 0.500 1
Cu3 Cu 0.000 0.296 0.500 1
Cu4 Cu 0.000 0.496 0.500 1
Ag1 Ag 0.000 0.193 0.000 1
Ag2 Ag 0.000 0.397 0.000 1
Ag3 Ag 0.000 0.589 0.000 1
Ag4 Ag 0.000 0.694 0.500 1
Ag5 Ag 0.000 0.799 0.000 1
Ag6 Ag 0.000 0.905 0.500 1

Record 9
# PrSi2AgOs | OQMD via LeMat-Bulk | PBE-GGA | optimized geometry
# DFT total energy: -6.325 eV/atom
data_PrSi2AgOs
_chemical_formula_sum 'Pr2 Si4 Ag2 Os2'
_space_group_name_H-M_alt 'I -4 m 2'
_space_group_IT_number 119
_space_group_name_Hall 'I -4 -2'
_cell_length_a 4.191
_cell_length_b 4.191
_cell_length_c 10.359
_cell_angle_alpha 90.00
_cell_angle_beta 90.00
_cell_angle_gamma 90.00
loop_
_atom_site_label
_atom_site_type_symbol
_atom_site_fract_x
_atom_site_fract_y
_atom_site_fract_z
_atom_site_occupancy
Pr1 Pr 0.000 0.000 0.000 1
Si1 Si 0.000 0.000 0.381 1
Ag1 Ag 0.000 0.500 0.750 1
Os1 Os 0.000 0.500 0.250 1

Record 10
# HfMgAg2 | OQMD via LeMat-Bulk | PBE-GGA | optimized geometry
# DFT total energy: -4.193 eV/atom
data_HfMgAg2
_chemical_formula_sum 'Hf4 Mg4 Ag8'
_space_group_name_H-M_alt 'F -4 3 m'
_space_group_IT_number 216
_space_group_name_Hall 'F -4 2 3'
_cell_length_a 6.628
_cell_length_b 6.628
_cell_length_c 6.628
_cell_angle_alpha 90.00
_cell_angle_beta 90.00
_cell_angle_gamma 90.00
loop_
_atom_site_label
_atom_site_type_symbol
_atom_site_fract_x
_atom_site_fract_y
_atom_site_fract_z
_atom_site_occupancy
Hf1 Hf 0.000 0.000 0.000 1
Mg1 Mg 0.250 0.250 0.750 1
Ag1 Ag 0.000 0.000 0.500 1
Ag2 Ag 0.250 0.250 0.250 1

Record 11
# Tb2ErPd3Pb3 | OQMD via LeMat-Bulk | PBE-GGA | optimized geometry
# DFT total energy: -5.222 eV/atom
data_Tb2ErPd3Pb3
_chemical_formula_sum 'Tb4 Er2 Pd6 Pb6'
_space_group_name_H-M_alt 'A m m 2'
_space_group_IT_number 38
_cell_length_a 3.862
_cell_length_b 13.574
_cell_length_c 7.861
_cell_angle_alpha 90.00
_cell_angle_beta 90.00
_cell_angle_gamma 90.00
loop_
_space_group_symop_operation_xyz
'x,y,z'
'-x,-y,z'
'-x,y,z'
'x,-y,z'
'x,y+1/2,z+1/2'
'-x,-y+1/2,z+1/2'
'-x,y+1/2,z+1/2'
'x,-y+1/2,z+1/2'
loop_
_atom_site_label
_atom_site_type_symbol
_atom_site_fract_x
_atom_site_fract_y
_atom_site_fract_z
_atom_site_occupancy
Tb1 Tb 0.000 0.200 0.000 1
Er1 Er 0.000 0.000 0.399 1
Pd1 Pd 0.000 0.000 0.798 1
Pd2 Pd 0.500 0.165 0.300 1
Pb1 Pb 0.500 0.000 0.067 1
Pb2 Pb 0.500 0.133 0.666 1

Record 12
# Gd3Al2 | OQMD via LeMat-Bulk | PBE-GGA | optimized geometry
# DFT total energy: -4.605 eV/atom
data_Gd3Al2
_chemical_formula_sum 'Gd12 Al8'
_space_group_name_H-M_alt 'P 42/m n m'
_space_group_IT_number 136
_space_group_name_Hall '-P 4n 2n'
_cell_length_a 8.315
_cell_length_b 8.315
_cell_length_c 7.638
_cell_angle_alpha 90.00
_cell_angle_beta 90.00
_cell_angle_gamma 90.00
loop_
_atom_site_label
_atom_site_type_symbol
_atom_site_fract_x
_atom_site_fract_y
_atom_site_fract_z
_atom_site_occupancy
Gd1 Gd 0.000 0.500 0.250 1
Gd2 Gd 0.149 0.149 0.000 1
Gd3 Gd 0.201 0.201 0.500 1
Al1 Al 0.119 0.881 0.308 1

- What is the formula in the first record?
  LiHgIrW